No. 1
This record from Alexandria describes an optimized crystal structure of CaSn2Hg. The functional is PBE.

Output
DFT total energy: -2.8363 eV per atom
Crystal system: tetragonal
Calculated formation energy: -0.259 eV/atom
Density of states at the Fermi level: 1.8 states/eV per cell

Lattice parameters (Å, degrees): 3.9711 3.9711 6.9229 90.00 90.00 90.00
With the nearest neighbours (Å) after each atom.
Positions (direct):
Sn1 0.0000 0.0000 0.2203  1 Sn 3.05, 4 Hg 3.20, 4 Ca 3.41
Hg1 0.5000 0.5000 0.0000  8 Sn 3.20, 2 Ca 3.46
Sn2 0.0000 0.0000 0.7797  1 Sn 3.05, 4 Hg 3.20, 4 Ca 3.41
Ca1 0.5000 0.5000 0.5000  8 Sn 3.41, 2 Hg 3.46



No. 2
This record from Alexandria describes an optimized crystal structure of Ca3SnHg3. The functional is PBE.

Output
DFT total energy: -1.9828 eV per atom
Crystal system: monoclinic
Calculated formation energy: -0.424 eV/atom
Density of states at the Fermi level: 7.3 states/eV per cell

Lattice parameters (Å, degrees): 7.4596 7.4596 7.2172 90.00 90.00 90.81
With the nearest neighbours (Å) after each atom.
Positions (direct):
Ca1 0.0005 0.4995 0.2452  2 Sn 3.19-3.20, 6 Hg 3.22-3.25, 1 Ca 3.54
Ca2 0.0001 0.0001 0.7520  2 Sn 3.30-3.31, 4 Hg 3.49-3.52, 2 Ca 3.58-3.64
Hg1 0.2839 0.7161 0.5000  2 Hg 3.22, 6 Ca 3.22-3.52
Sn1 0.7345 0.7345 0.0008  2 Hg 3.10, 6 Ca 3.19-3.31
Ca3 0.4996 0.0005 0.2452  2 Sn 3.19-3.20, 6 Hg 3.22-3.25, 1 Ca 3.54
Hg2 0.2850 0.2850 0.5013  2 Hg 3.22, 6 Ca 3.25-3.50, 1 Sn 3.60
Hg3 0.7161 0.2839 0.5000  2 Hg 3.22, 6 Ca 3.22-3.52
Hg4 0.3218 0.6782 0.0000  2 Sn 3.10, 4 Ca 3.25
Hg5 0.7150 0.7150 0.4987  2 Hg 3.22, 6 Ca 3.25-3.50, 1 Sn 3.60
Ca4 0.9995 0.5005 0.7548  2 Sn 3.19-3.20, 6 Hg 3.22-3.25, 1 Ca 3.54
Hg6 0.6782 0.3218 0.0000  2 Sn 3.10, 4 Ca 3.25
Ca5 0.5004 0.9995 0.7548  2 Sn 3.19-3.20, 6 Hg 3.22-3.25, 1 Ca 3.54
Sn2 0.2655 0.2655 0.9992  2 Hg 3.10, 6 Ca 3.19-3.31
Ca6 0.9999 0.9999 0.2480  2 Sn 3.30-3.31, 4 Hg 3.49-3.52, 2 Ca 3.58-3.64



No. 3
This record from Alexandria describes an optimized crystal structure of Ca4Sn2Hg5. The functional is PBE.

Output
DFT total energy: -2.0301 eV per atom
Crystal system: monoclinic
Calculated formation energy: -0.437 eV/atom
Density of states at the Fermi level: 5.0 states/eV per cell

Lattice parameters (Å, degrees): 3.7056 8.1181 10.1985 96.69 90.00 90.00
With the nearest neighbours (Å) after each atom.
Positions (direct):
Sn1 0.0000 0.9256 0.3613  1 Sn 2.94, 2 Hg 3.09-3.13, 2 Ca 3.20
Hg1 0.0000 0.5000 0.0000  4 Hg 3.14-3.21, 4 Ca 3.25
Hg2 0.0000 0.4569 0.6903  1 Sn 3.09, 2 Hg 3.14-3.29, 2 Ca 3.22
Sn2 0.0000 0.0744 0.6387  1 Sn 2.94, 2 Hg 3.09-3.13, 2 Ca 3.20
Ca1 0.5000 0.1856 0.8893  2 Sn 3.20, 6 Hg 3.22-3.41
Ca2 0.5000 0.8144 0.1107  2 Sn 3.20, 6 Hg 3.22-3.41
Hg3 0.0000 0.5431 0.3097  1 Sn 3.09, 2 Hg 3.14-3.29, 2 Ca 3.22
Hg4 0.0000 0.1696 0.1454  1 Sn 3.13, 2 Hg 3.21-3.29, 6 Ca 3.22-3.44
Ca3 0.5000 0.7286 0.5731  6 Hg 3.22-3.46, 4 Sn 3.36-3.39
Ca4 0.5000 0.2714 0.4269  6 Hg 3.22-3.46, 4 Sn 3.36-3.39
Hg5 0.0000 0.8304 0.8546  1 Sn 3.13, 2 Hg 3.21-3.29, 6 Ca 3.22-3.44



In μB per formula unit, the magnetization values for the records above are, in order, 0.00, 0.00, 0.00.